No. 1
Computed, not measured: a geometry-optimized SrBeO2 structure at the PBE level of DFT.

The space group is R-3m (No. 166, hexagonal axes) and the conventional cell measures 3.7630, 3.7630 and 16.1447 Å, with angles of 90.00, 90.00 and 120.00 degrees. The inequivalent atoms are Sr at (0.0000, 0.0000, 0.0000), Be at (0.0000, 0.0000, 0.5000) and O at (0.0000, 0.0000, 0.4115).

Its raw formation energy is -2.579 eV/atom. The calculation puts the total magnetization at 0.0 μB per formula unit. The density of states at the Fermi level comes out at 0.000 states/eV per atom.

No. 2
Computed, not measured: a geometry-optimized CaSmPd structure at the PBE level of DFT.

The space group is I4mm (No. 107) and the conventional cell measures 3.610, 3.610 and 13.021 Å, with angles of 90.00, 90.00 and 90.00 degrees. The inequivalent atoms are Ca at (0.000, 0.000, 0.000), Sm at (0.000, 0.000, 0.262) and Pd at (0.000, 0.000, 0.644).

The calculation puts the total magnetization at 0.0 μB per formula unit. The distance to the lowest polymorph of the same formula is 0.137 eV/f.u. The density of states at the Fermi level comes out at 0.791 states/eV per atom. Its energy of formation is -46.91 kJ/mol of atoms.

No. 3
Computed, not measured: a geometry-optimized KAgO2F structure at the PBE level of DFT.

The space group is P4/mmm (No. 123) and the conventional cell measures 4.837, 4.837 and 4.784 Å, with angles of 90.00, 90.00 and 90.00 degrees. The inequivalent atoms are K at (0.000, 0.000, 0.000), Ag at (0.500, 0.500, 0.500), O at (0.000, 0.500, 0.000) and F at (0.000, 0.000, 0.500).

Its raw formation energy is 0.275 eV/atom. The calculation puts the total magnetization at 3.0 μB per formula unit. The density of states at the Fermi level comes out at 1.678 states/eV per atom.

No. 4
Computed, not measured: a geometry-optimized K2IO structure at the PBE level of DFT.

The space group is Fm-3m (No. 225) and the conventional cell measures 7.946, 7.946 and 7.946 Å, with angles of 90.00, 90.00 and 90.00 degrees. The inequivalent atoms are K at (0.250, 0.250, 0.250), I at (0.000, 0.000, 0.000) and O at (0.000, 0.000, 0.500).

Its raw formation energy is -0.798 eV/atom. The calculation puts the total magnetization at 1.0 μB per formula unit. The distance to the lowest polymorph of the same formula is 0.860 eV/f.u. The density of states at the Fermi level comes out at 3.635 states/eV per atom.

No. 5
Computed, not measured: a geometry-optimized In3BiPd structure at the PBE level of DFT.

The space group is Pm-3m (No. 221) and the conventional cell measures 5.230, 5.230 and 5.230 Å, with angles of 90.00, 90.00 and 90.00 degrees. The inequivalent atoms are In at (0.000, 0.000, 0.500), Bi at (0.500, 0.500, 0.500) and Pd at (0.000, 0.000, 0.000).

The calculation puts the total magnetization at 0.0 μB per formula unit. The distance to the lowest polymorph of the same formula is 0.000 eV/f.u. The density of states at the Fermi level comes out at 0.899 states/eV per atom. Its energy of formation is -2.84 kJ/mol of atoms.

No. 6
Computed, not measured: a geometry-optimized Sm2Ho5TmTh structure at the PBE level of DFT.

The space group is Cmc2_1 (No. 36) and the conventional cell measures 5.678, 21.464 and 9.726 Å, with angles of 90.00, 90.00 and 90.00 degrees. The inequivalent atoms are Sm at (0.000, 0.114, 0.000), Sm at (0.000, 0.131, 0.615), Ho at (0.000, 0.015, 0.309), Ho at (0.000, 0.269, 0.995), Ho at (0.000, 0.306, 0.607), Ho at (0.000, 0.396, 0.284), Ho at (0.000, 0.471, 0.583), Tm at (0.000, 0.192, 0.308) and Th at (0.000, 0.404, 0.899).

The calculation puts the total magnetization at 0.0 μB per formula unit. The density of states at the Fermi level comes out at 1.445 states/eV per atom. Its energy of formation is 15.88 kJ/mol of atoms.

No. 7
Computed, not measured: a geometry-optimized In2SnHgN structure at the PBE level of DFT.

The space group is P4/mmm (No. 123) and the conventional cell measures 5.995, 5.995 and 4.075 Å, with angles of 90.00, 90.00 and 90.00 degrees. The inequivalent atoms are In at (0.000, 0.500, 0.000), Sn at (0.000, 0.000, 0.000), Hg at (0.500, 0.500, 0.500) and N at (0.000, 0.000, 0.500).

Its raw formation energy is 0.673 eV/atom. The calculation puts the total magnetization at 0.0 μB per formula unit. The density of states at the Fermi level comes out at 0.767 states/eV per atom.

No. 8
Computed, not measured: a geometry-optimized Na3Fe2Se4 structure at the PBE level of DFT.

The space group is C2/m (No. 12) and the conventional cell measures 13.787, 4.006 and 9.739 Å, with angles of 90.00, 125.86 and 90.00 degrees. The inequivalent atoms are Na at (0.000, 0.000, 0.000), Na at (0.126, 0.500, 0.772), Fe at (0.194, 0.500, 0.369), Se at (0.093, 0.000, 0.382) and Se at (0.192, 0.500, 0.128).

Its raw formation energy is -0.622 eV/atom. The calculation puts the total magnetization at 8.0 μB per formula unit. The density of states at the Fermi level comes out at 0.504 states/eV per atom.

No. 9
Computed, not measured: a geometry-optimized CsTlGa2 structure at the PBE level of DFT.

The space group is Fm-3m (No. 225) and the conventional cell measures 7.899, 7.899 and 7.899 Å, with angles of 90.00, 90.00 and 90.00 degrees. The inequivalent atoms are Cs at (0.000, 0.000, 0.000), Tl at (0.000, 0.000, 0.500) and Ga at (0.250, 0.250, 0.250).

The calculation puts the total magnetization at 0.0 μB per formula unit. The distance to the lowest polymorph of the same formula is 0.783 eV/f.u. The density of states at the Fermi level comes out at 0.297 states/eV per atom. Its energy of formation is 21.73 kJ/mol of atoms.

No. 10
Computed, not measured: a geometry-optimized HoEr5Ga6 structure at the PBE level of DFT.

The space group is Cmmm (No. 65) and the conventional cell measures 5.011, 15.030 and 7.069 Å, with angles of 90.00, 90.00 and 90.00 degrees. The inequivalent atoms are Ho at (0.000, 0.000, 0.000), Er at (0.000, 0.000, 0.500), Er at (0.000, 0.333, 0.000), Er at (0.000, 0.334, 0.500), Ga at (0.000, 0.167, 0.251) and Ga at (0.000, 0.500, 0.250).

The calculation puts the total magnetization at 0.0 μB per formula unit. The density of states at the Fermi level comes out at 0.362 states/eV per atom. Its energy of formation is -55.61 kJ/mol of atoms.

No. 11
Computed, not measured: a geometry-optimized BaCoNi2 structure at the PBE level of DFT.

The space group is Pmmm (No. 47) and the conventional cell measures 3.136, 3.154 and 7.167 Å, with angles of 90.00, 90.00 and 90.00 degrees. The inequivalent atoms are Ba at (0.000, 0.000, 0.000), Co at (0.000, 0.000, 0.500) and Ni at (0.500, 0.500, 0.337).

The calculation puts the total magnetization at 2.9 μB per formula unit. The density of states at the Fermi level comes out at 1.739 states/eV per atom. Its energy of formation is 46.52 kJ/mol of atoms.

No. 12
Computed, not measured: a geometry-optimized Al2Ni4Pt structure at the PBE level of DFT.

The space group is I4/mmm (No. 139) and the conventional cell measures 3.196, 3.196 and 17.759 Å, with angles of 90.00, 90.00 and 90.00 degrees. The inequivalent atoms are Al at (0.000, 0.000, 0.089), Ni at (0.000, 0.000, 0.353), Ni at (0.000, 0.500, 0.250) and Pt at (0.000, 0.000, 0.500).

The calculation puts the total magnetization at 0.1 μB per formula unit. The density of states at the Fermi level comes out at 0.983 states/eV per atom. Its energy of formation is -25.66 kJ/mol of atoms.